Computed, not measured: a relaxed structure of Pm2CoSe at the PBE-GGA level of DFT.

Summary:
The calculation puts the uncorrected formation energy at -721 meV/atom. The total magnetization comes out at 0.62 Bohr magnetons per cell. The excess energy over the best structure of this formula in the dataset is 221 meV/atom. Its volume is 91.1 Å³/f.u.

Cell: 3.5464 3.5464 7.2460 Å, 90.00 90.00 90.00°
With the nearest neighbours (Å) after each atom.
Space group P4/mmm (No. 123)
Symmetry-distinct sites (fractional):
Pm 0.0000 0.0000 0.2345 x2  4 Co 3.03, 4 Se 3.16
Co 0.5000 0.5000 0.0000 x1  8 Pm 3.03
Se 0.5000 0.5000 0.5000 x1  8 Pm 3.16

Computed, not measured: a relaxed structure of DyLu3Fe at the PBE-GGA level of DFT.

Summary:
The total magnetization comes out at 0.00 Bohr magnetons per cell. The formation energy is 0.35 eV per formula unit. Its volume is 136.4 Å³/f.u.

Cell: 5.1479 5.1479 5.1479 Å, 90.00 90.00 90.00°
With the nearest neighbours (Å) after each atom.
Space group Pm-3m (No. 221)
Symmetry-distinct sites (fractional):
Dy 0.0000 0.0000 0.0000 x1  12 Lu 3.64
Lu 0.0000 0.5000 0.5000 x3  2 Fe 2.57
Fe 0.5000 0.5000 0.5000 x1  6 Lu 2.57

Computed, not measured: a relaxed structure of Mg4BeAg at the PBE-GGA level of DFT.

Summary:
The total magnetization comes out at 0.00 Bohr magnetons per cell. The formation energy is 2.59 eV per formula unit. Its volume is 121.3 Å³/f.u.

Cell: 7.8575 7.8575 7.8575 Å, 90.00 90.00 90.00°
With the nearest neighbours (Å) after each atom.
Space group F-43m (No. 216)
Symmetry-distinct sites (fractional):
Mg 0.1252 0.1252 0.1252 x16  6 Mg 2.77-2.78
Be 0.0000 0.0000 0.5000 x4  12 Mg 3.26, 4 Ag 3.40
Ag 0.2500 0.2500 0.7500 x4  12 Mg 3.26, 4 Be 3.40

Computed, not measured: a relaxed structure of KUGaBr6 at the PBE-GGA level of DFT.

Summary:
The calculation puts the uncorrected formation energy at -1265 meV/atom. The total magnetization comes out at 4.00 Bohr magnetons per cell. Its volume is 363.3 Å³/f.u.

Cell: 7.7686 7.7686 13.9030 Å, 90.00 90.00 120.00°
With the nearest neighbours (Å) after each atom.
Space group P-31c (No. 163)
Symmetry-distinct sites (fractional):
K 0.0000 0.0000 0.0000 x2  6 Br 3.39
U 0.3333 0.6667 0.2500 x2  6 Br 2.80
Ga 0.3333 0.6667 0.7500 x2  6 Br 3.12
Br 0.0314 0.3787 0.1351 x12  1 U 2.80, 1 Ga 3.12